Material: P2Pb3O8
Method: DFT, GGA-PBEsol
State: relaxed

Geometry as POSCAR:
```
P2Pb3O8
1.0
5.431 -0.013 0.005
2.620 4.757 0.005
2.707 1.595 6.724
O P Pb
8 2 3
direct
0.785 0.240 0.712
0.760 0.215 0.288
0.215 0.760 0.288
0.240 0.785 0.712
0.779 0.779 0.704
0.221 0.221 0.296
0.822 0.822 0.018
0.178 0.178 0.982
0.905 0.905 0.788
0.095 0.095 0.212
0.500 0.500 0.000
0.717 0.717 0.367
0.283 0.283 0.633
```

The density of states at the Fermi level comes out at 0.00 states/eV per cell. For the formation energy from raw total energies, the calculation gives -2360 kJ/mol of formula units. The calculation puts the total magnetization at 0.000 μB/cell. The electronic total energy comes out at -6.93 eV/atom. The crystal system is monoclinic. The space group is C2/m, No. 12.